The following is a DFT calculation (GGA-PBE) of a geometry-optimized DyY3Sb3 structure.

Cell: 8.0389 8.0389 8.0389 Å, 67.85 67.85 67.85°
Closest atoms and distances in Å follow each position.
Positions (direct):
Dy 0.1663 0.1663 0.1663  6 Sb 3.14-3.19
Dy 0.8337 0.8337 0.8337  6 Sb 3.14-3.19
Y 0.1543 0.6788 0.4124  5 Sb 3.06-3.26
Y 0.3212 0.5876 0.8456  5 Sb 3.06-3.26
Y 0.4124 0.1543 0.6788  5 Sb 3.06-3.26
Y 0.5876 0.8456 0.3212  5 Sb 3.06-3.26
Y 0.6788 0.4124 0.1544  5 Sb 3.06-3.26
Y 0.8456 0.3212 0.5876  5 Sb 3.06-3.26
Sb 0.0305 0.4224 0.8025  5 Y 3.06-3.26, 2 Dy 3.14-3.19
Sb 0.1975 0.9695 0.5776  5 Y 3.06-3.26, 2 Dy 3.14-3.19
Sb 0.4224 0.8025 0.0305  5 Y 3.06-3.26, 2 Dy 3.14-3.19
Sb 0.5776 0.1975 0.9695  5 Y 3.06-3.26, 2 Dy 3.14-3.19
Sb 0.8025 0.0305 0.4224  5 Y 3.06-3.26, 2 Dy 3.14-3.19
Sb 0.9695 0.5776 0.1975  5 Y 3.06-3.26, 2 Dy 3.14-3.19

Values from the calculation:
Energy   -6.127 eV/atom
Space-group type   R-3 (148)